No. 1
Entry from the Open Quantum Materials Database: a geometry-optimized HfTeNO structure (PBE).

Lattice parameters (Å, degrees): 6.616 8.161 5.953 90.00 90.00 90.00
Element x y z (fractional)
Hf 0.099 0.084 0.000
Hf 0.401 0.084 0.500
Hf 0.599 0.916 0.000
Hf 0.901 0.916 0.500
Te 0.225 0.519 0.540
Te 0.275 0.519 0.040
Te 0.725 0.481 0.540
Te 0.775 0.481 0.040
N 0.137 0.029 0.663
N 0.363 0.029 0.163
N 0.637 0.971 0.663
N 0.863 0.971 0.163
O 0.043 0.318 0.042
O 0.457 0.318 0.542
O 0.543 0.682 0.042
O 0.957 0.682 0.542

## Properties
Symmetry: Pca2_1, No. 29
Total magnetic moment (μB/f.u.): 0.00
Crystal system: orthorhombic



No. 2
Entry from the Open Quantum Materials Database: a geometry-optimized HfTeNO structure (PBE).

Lattice parameters (Å, degrees): 4.243 4.243 7.359 90.00 90.00 90.00
Element x y z (fractional)
Hf 0.250 0.750 0.000
Hf 0.750 0.250 0.000
Te 0.250 0.250 0.360
Te 0.750 0.750 0.640
N 0.250 0.250 0.944
N 0.750 0.750 0.056
O 0.250 0.750 0.500
O 0.750 0.250 0.500

## Properties
Symmetry: P4/nmm, No. 129
Total magnetic moment (μB/f.u.): 0.00
Crystal system: tetragonal



No. 3
Entry from the Open Quantum Materials Database: a geometry-optimized HfTeNO structure (PBE).

Lattice parameters (Å, degrees): 4.136 4.136 8.797 90.00 90.00 90.00
Element x y z (fractional)
Hf 0.250 0.250 0.078
Hf 0.750 0.750 0.922
Te 0.250 0.750 0.500
Te 0.750 0.250 0.500
N 0.250 0.250 0.291
N 0.750 0.750 0.709
O 0.250 0.750 0.000
O 0.750 0.250 0.000

## Properties
Symmetry: P4/nmm, No. 129
Total magnetic moment (μB/f.u.): 0.00
Crystal system: tetragonal



For each record above, in turn, the calculated distance to the lowest polymorph of the same formula values are 0.1204 0.8563 0.5825 eV per atom.